Here is an optimized crystal structure of Zn2CdRh from the Alexandria database. Energies are from PBE.

Geometry as POSCAR:
```
Zn2CdRh
1.0
-2.0955 3.8607 1.7211
-3.7663 2.7908 -0.5339
-3.1440 -1.9205 3.2408
Cd Rh Zn
1 1 2
direct
0.7500 0.7500 0.7500
0.2500 0.2500 0.2500
0.9878 0.9878 0.0339
0.5122 0.5122 0.4661
```

Here is an optimized crystal structure of Zn2CdRh from the Alexandria database. Energies are from PBE.

Geometry as POSCAR:
```
Zn2CdRh
1.0
-2.4819 -0.3993 -3.4964
-0.7442 -3.8951 -1.6788
-4.4667 -1.8413 0.7291
Zn Cd Rh
2 1 1
direct
0.0072 0.0072 0.9784
0.2801 0.2801 0.1596
0.4984 0.4984 0.5049
0.7143 0.7143 0.8571
```

| no. | energy relative to the elements (kJ per mole of atoms) | density of states at the Fermi level (states/eV/f.u.) |
| --- | --- | --- |
| 1 | -15.6 | 2.0 |
| 2 | -9.1 | 1.5 |